## Zn3Fe (PBE-GGA)

Data for a relaxed structure of Zn3Fe.

SG: Imm2 (44)
DFT formation energy: 0.014 eV per atom

Cell: 5.0834 5.0834 5.0834 Å, 149.81 64.20 124.82°
Atoms (fractional coordinates):
Zn 0.0000 0.0000 0.0000
Zn 0.0827 0.3278 0.7549
Zn 0.5728 0.3278 0.2451
Fe 0.5106 0.0106 0.5000


## CsSe2Cl8 (PBE-GGA)

Data for a relaxed structure of CsSe2Cl8.

Uncorrected formation energy: -0.52 eV/atom
SG: P-1 (2)

Cell: 5.1945 9.5952 9.6000 Å, 60.02 89.96 89.99°
Atoms (fractional coordinates):
Cs 0.0000 0.0000 0.0000
Se 0.2891 0.3333 0.3333
Se 0.7109 0.6667 0.6667
Cl 0.2071 0.6666 0.6668
Cl 0.2942 0.1948 0.6132
Cl 0.2947 0.1917 0.1947
Cl 0.2946 0.6135 0.1920
Cl 0.7054 0.3865 0.8080
Cl 0.7053 0.8083 0.8053
Cl 0.7058 0.8052 0.3868
Cl 0.7929 0.3334 0.3332


## Ti2CoAs2 (PBE-GGA)

Data for a relaxed structure of Ti2CoAs2.

Relative energy among the computed polymorphs: 0.00 eV per formula unit
SG: P4/mbm (127)
DFT formation energy: -0.552 eV per atom

Cell: 6.4481 6.4481 3.6236 Å, 90.00 90.00 90.00°
Atoms (fractional coordinates):
Ti 0.1564 0.3436 0.0000
Ti 0.3436 0.8436 0.0000
Ti 0.6564 0.1564 0.0000
Ti 0.8436 0.6564 0.0000
Co 0.0000 0.0000 0.5000
Co 0.5000 0.5000 0.5000
As 0.1511 0.6511 0.5000
As 0.3489 0.1511 0.5000
As 0.6511 0.8489 0.5000
As 0.8489 0.3489 0.5000


## Hf4FeIr (PBE-GGA)

Data for a relaxed structure of Hf4FeIr.

Relative energy among the computed polymorphs: 0.00 eV per formula unit
SG: P2_1/m (11)
DFT formation energy: -0.357 eV per atom

Cell: 5.3938 6.0433 7.4808 Å, 90.00 109.43 90.00°
Atoms (fractional coordinates):
Hf 0.0274 0.0011 0.2662
Hf 0.0274 0.4989 0.2662
Hf 0.4046 0.2500 0.0642
Hf 0.4284 0.2500 0.6409
Hf 0.5716 0.7500 0.3591
Hf 0.5954 0.7500 0.9358
Hf 0.9726 0.5011 0.7338
Hf 0.9726 0.9989 0.7338
Fe 0.1773 0.7500 0.0333
Fe 0.8227 0.2500 0.9667
Ir 0.2812 0.7500 0.5818
Ir 0.7188 0.2500 0.4182


## DyZnHgRh (PBE-GGA)

Data for a relaxed structure of DyZnHgRh.

SG: F-43m (216)
DFT formation energy: -0.345 eV per atom

Cell: 4.7864 4.7864 4.7864 Å, 60.00 60.00 60.00°
Atoms (fractional coordinates):
Dy 0.0000 0.0000 0.0000
Zn 0.5000 0.5000 0.5000
Hg 0.2500 0.2500 0.2500
Rh 0.7500 0.7500 0.7500


## SeF3 (PBE-GGA)

Data for a relaxed structure of SeF3.

Uncorrected formation energy: -0.64 eV/atom
SG: I-42d (122)

Cell: 7.5718 7.5718 7.5718 Å, 151.27 151.27 41.08°
Atoms (fractional coordinates):
Se 0.0000 0.0000 0.0000
Se 0.7500 0.2500 0.5000
F 0.0477 0.6250 0.9227
F 0.2500 0.7500 0.5000
F 0.3750 0.2977 0.4227
F 0.5000 0.5000 0.0000
F 0.7023 0.1250 0.0773
F 0.8750 0.9523 0.5773


## SrPmAu (PBE-GGA)

Data for a relaxed structure of SrPmAu.

Relative energy among the computed polymorphs: 0.43 eV per formula unit
SG: F-43m (216)
DFT formation energy: -0.365 eV per atom

Cell: 5.2265 5.2265 5.2265 Å, 60.00 60.00 60.00°
Atoms (fractional coordinates):
Sr 0.0000 0.0000 0.0000
Pm 0.5000 0.5000 0.5000
Au 0.7500 0.7500 0.7500


## KHfAlV2 (PBE-GGA)

Data for a relaxed structure of KHfAlV2.

SG: P4/mmm (123)
DFT formation energy: 2.014 eV per atom

Cell: 4.3031 4.3031 5.0846 Å, 90.00 90.00 90.00°
Atoms (fractional coordinates):
K 0.0000 0.0000 0.0000
Hf 0.5000 0.5000 0.5000
Al 0.0000 0.0000 0.5000
V 0.0000 0.5000 0.0000
V 0.5000 0.0000 0.0000